Run 1
Computed, not measured: a relaxed ErPd8Au2 crystal at the PBE level of DFT.

The structure belongs to space group C2/m (No. 12); the cell edges are 10.483, 8.951 and 4.772 Å and the angles 90.00°, 104.64° and 90.00°. The distinct sites, in fractional coordinates, are Er at (0.000, 0.000, 0.000), Pd at (0.068, 0.500, 0.289), Pd at (0.082, 0.250, 0.778), Pd at (0.220, 0.500, 0.883) and Au at (0.166, 0.000, 0.555).


Run 2
Computed, not measured: a relaxed ErPd8Au2 crystal at the PBE level of DFT.

The structure belongs to space group Cmmm (No. 65); the cell edges are 8.222, 10.917 and 4.348 Å and the angles 90.00°, 90.00° and 90.00°. The distinct sites, in fractional coordinates, are Er at (0.000, 0.000, 0.000), Pd at (0.000, 0.245, 0.000), Pd at (0.168, 0.500, 0.000), Pd at (0.169, 0.134, 0.500) and Au at (0.000, 0.377, 0.500).


Which one sits at the bottom of the stability order? run 1 does.


Run 1
Computed, not measured: a relaxed Er2Pd5Au crystal at the PBE level of DFT.

The structure belongs to space group I4/mmm (No. 139); the cell edges are 5.900, 5.900 and 8.069 Å and the angles 90.00°, 90.00° and 90.00°. The distinct sites, in fractional coordinates, are Er at (0.000, 0.500, 0.000), Pd at (0.000, 0.000, 0.000), Pd at (0.250, 0.250, 0.250) and Au at (0.000, 0.000, 0.500).


Run 2
Computed, not measured: a relaxed Er2Pd5Au crystal at the PBE level of DFT.

The structure belongs to space group Pbam (No. 55); the cell edges are 5.798, 11.590 and 4.176 Å and the angles 90.00°, 90.00° and 90.00°. The distinct sites, in fractional coordinates, are Er at (0.234, 0.130, 0.000), Pd at (0.000, 0.000, 0.500), Pd at (0.014, 0.750, 0.500), Pd at (0.240, 0.377, 0.000) and Au at (0.000, 0.500, 0.500).


Which one sits at the bottom of the stability order? run 1 does.


Run 1
Computed, not measured: a relaxed ErPd5Au6 crystal at the PBE level of DFT.

The structure belongs to space group C2/m (No. 12); the cell edges are 4.158, 12.411 and 8.072 Å and the angles 90.00°, 90.14° and 90.00°. The distinct sites, in fractional coordinates, are Er at (0.000, 0.000, 0.000), Pd at (0.000, 0.000, 0.500), Pd at (0.000, 0.335, 0.000), Pd at (0.000, 0.335, 0.500), Au at (0.000, 0.169, 0.256) and Au at (0.000, 0.500, 0.259).


Run 2
Computed, not measured: a relaxed ErPd5Au6 crystal at the PBE level of DFT.

The structure belongs to space group Immm (No. 71); the cell edges are 4.149, 8.136 and 12.340 Å and the angles 90.00°, 90.00° and 90.00°. The distinct sites, in fractional coordinates, are Er at (0.000, 0.000, 0.000), Pd at (0.000, 0.000, 0.330), Pd at (0.000, 0.500, 0.000), Pd at (0.000, 0.500, 0.340), Au at (0.000, 0.237, 0.500) and Au at (0.000, 0.257, 0.169).


Which one sits at the bottom of the stability order? run 2 does.